Entry 1:
The following is a meta-GGA SCAN calculation of a crystal of LiCdIn relaxed with PBEsol, from Alexandria.

Computed properties:
ΔE to the lowest computed polymorph   2.9 kJ/mol of atoms
Energy relative to the elements   -219 meV per atom
Volume   20.07 Å³ per atom

The structure in CIF format:
```
data_LiCdIn
_chemical_formula_sum 'Li2 Cd2 In2'
_cell_length_a 3.0679
_cell_length_b 3.0679
_cell_length_c 12.7920
_cell_angle_alpha 90.00
_cell_angle_beta 90.00
_cell_angle_gamma 90.00
_space_group_name_H-M_alt 'I 4 m m'
_space_group_IT_number 107
_space_group_name_Hall 'I 4 -2'
loop_
_atom_site_label
_atom_site_fract_x
_atom_site_fract_y
_atom_site_fract_z
Li1 0.0000 0.0000 0.0000
Cd1 0.0000 0.0000 0.3468
In1 0.0000 0.0000 0.6618
```


Entry 2:
The following is a meta-GGA SCAN calculation of a crystal of ScMo5 relaxed with PBEsol, from Alexandria.

Computed properties:
ΔE to the lowest computed polymorph   1.9 kJ/mol of atoms
Energy relative to the elements   55 meV per atom
Volume   15.82 Å³ per atom

The structure in CIF format:
```
data_ScMo5
_chemical_formula_sum 'Sc2 Mo10'
_cell_length_a 3.1427
_cell_length_b 13.3680
_cell_length_c 4.5180
_cell_angle_alpha 90.00
_cell_angle_beta 90.00
_cell_angle_gamma 90.00
_space_group_name_H-M_alt 'C m m m'
_space_group_IT_number 65
_space_group_name_Hall '-C 2 2'
loop_
_atom_site_label
_atom_site_fract_x
_atom_site_fract_y
_atom_site_fract_z
Sc1 0.0000 0.0000 0.0000
Mo1 0.0000 0.1645 0.5000
Mo2 0.0000 0.3259 0.0000
Mo3 0.0000 0.5000 0.5000
```


Entry 3:
The following is a meta-GGA SCAN calculation of a crystal of KMn2Tl relaxed with PBEsol, from Alexandria.

Computed properties:
ΔE to the lowest computed polymorph   21.3 kJ/mol of atoms
Energy relative to the elements   365 meV per atom
Volume   24.82 Å³ per atom

The structure in CIF format:
```
data_KMn2Tl
_chemical_formula_sum 'K2 Mn4 Tl2'
_cell_length_a 9.5871
_cell_length_b 3.0497
_cell_length_c 6.8241
_cell_angle_alpha 90.00
_cell_angle_beta 95.58
_cell_angle_gamma 90.00
_space_group_name_H-M_alt 'C 1 2/m 1'
_space_group_IT_number 12
loop_
_space_group_symop_operation_xyz
'x,y,z'
'-x,-y,-z'
'-x,y,-z'
'x,-y,z'
'x+1/2,y+1/2,z'
'-x+1/2,-y+1/2,-z'
'-x+1/2,y+1/2,-z'
'x+1/2,-y+1/2,z'
loop_
_atom_site_label
_atom_site_fract_x
_atom_site_fract_y
_atom_site_fract_z
K1 0.0000 0.0000 0.0000
Mn1 0.2348 0.0000 0.6485
Tl1 0.0000 0.5000 0.5000
```


Entry 4:
The following is a meta-GGA SCAN calculation of a crystal of Li2Hg relaxed with PBEsol, from Alexandria.

Computed properties:
Energy relative to the elements   -421 meV per atom
Volume   16.91 Å³ per atom

The structure in CIF format:
```
data_Li2Hg
_chemical_formula_sum 'Li8 Hg4'
_cell_length_a 3.9829
_cell_length_b 12.2489
_cell_length_c 4.1583
_cell_angle_alpha 90.00
_cell_angle_beta 90.00
_cell_angle_gamma 90.00
_space_group_name_H-M_alt 'C m c m'
_space_group_IT_number 63
_space_group_name_Hall '-C 2c 2'
loop_
_atom_site_label
_atom_site_fract_x
_atom_site_fract_y
_atom_site_fract_z
Li1 0.0000 0.0778 0.2500
Li2 0.0000 0.2531 0.7500
Hg1 0.0000 0.4072 0.2500
```


- Which value of energy relative to the elements does entry 3 give?
  365 meV per atom


- What is the energy relative to the elements in the first record?
  -219 meV per atom


- Among the records above, which one has the highest energy relative to the elements?
  KMn2Tl